Entry 1:
Crystalline Nd2Be2GeO7 at its relaxed geometry, computed with PBE.

Values from the calculation:
- Electronic total energy: -7.523 eV per atom
- Space-group type: P-42_1m (113)

a b c (Å): 7.5609 7.5609 4.8788
angles (deg): 90.00 90.00 90.00
Fractional positions:
Nd 0.1591 0.3409 0.4953
Nd 0.3409 0.8409 0.5047
Nd 0.6591 0.1591 0.5047
Nd 0.8409 0.6591 0.4953
Be 0.1341 0.6341 0.9579
Be 0.3659 0.1341 0.0421
Be 0.6341 0.8659 0.0421
Be 0.8659 0.3659 0.9579
Ge 0.0000 0.0000 0.0000
Ge 0.5000 0.5000 0.0000
O 0.0000 0.5000 0.8289
O 0.0778 0.8264 0.7924
O 0.1426 0.6426 0.2810
O 0.1736 0.0778 0.2076
O 0.3264 0.5778 0.7924
O 0.3574 0.1426 0.7190
O 0.4222 0.3264 0.2076
O 0.5000 0.0000 0.1711
O 0.5778 0.6736 0.2076
O 0.6426 0.8574 0.7190
O 0.6736 0.4222 0.7924
O 0.8264 0.9222 0.2076
O 0.8574 0.3574 0.2810
O 0.9222 0.1736 0.7924

***

Entry 2:
Crystalline PrTe4I2 at its relaxed geometry, computed with PBE.

Values from the calculation:
- Electronic total energy: -3.143 eV per atom
- Space-group type: Cmmm (65)

a b c (Å): 7.8912 7.8912 4.5928
angles (deg): 90.00 90.00 108.56
Fractional positions:
Pr 0.0000 0.0000 0.0000
Te 0.2465 0.2465 0.5000
Te 0.2550 0.7450 0.0000
Te 0.7450 0.2550 0.0000
Te 0.7535 0.7535 0.5000
I 0.0000 0.5000 0.5000
I 0.5000 0.0000 0.5000

***

Entry 3:
Crystalline Tm2ReSi2WC at its relaxed geometry, computed with PBE.

Values from the calculation:
- Electronic total energy: -8.345 eV per atom
- Space-group type: Cm (8)

a b c (Å): 5.8083 5.8083 6.9696
angles (deg): 123.70 123.70 38.58
Fractional positions:
Tm 0.0000 0.0000 0.0000
Tm 0.1485 0.1485 0.5947
Re 0.3664 0.3664 0.2081
Si 0.4453 0.4453 0.6339
Si 0.7134 0.7134 0.9629
W 0.7805 0.7805 0.3816
C 0.5728 0.5728 0.2949

***

Entry 4:
Crystalline GaHgW at its relaxed geometry, computed with PBE.

Values from the calculation:
- Electronic total energy: -4.367 eV per atom
- Space-group type: F-43m (216)

a b c (Å): 4.4969 4.4969 4.4969
angles (deg): 60.00 60.00 60.00
Fractional positions:
Ga 0.0000 0.0000 0.0000
Hg 0.5000 0.5000 0.5000
W 0.2500 0.2500 0.2500

***

Entry 5:
Crystalline HfCuNi2 at its relaxed geometry, computed with PBE.

Values from the calculation:
- Energy of formation: -20.47 kJ per mole of atoms
- Space-group type: F-43m (216)

a b c (Å): 4.2451 4.2451 4.2451
angles (deg): 60.00 60.00 60.00
Fractional positions:
Hf 0.0000 0.0000 0.0000
Cu 0.2500 0.2500 0.2500
Ni 0.5000 0.5000 0.5000
Ni 0.7500 0.7500 0.7500

***

Entry 6:
Crystalline HfCuW at its relaxed geometry, computed with PBE.

Values from the calculation:
- Energy of formation: 63.04 kJ per mole of atoms
- Space-group type: F-43m (216)

a b c (Å): 4.2541 4.2541 4.2541
angles (deg): 60.00 60.00 60.00
Fractional positions:
Hf 0.0000 0.0000 0.0000
Cu 0.2500 0.2500 0.2500
W 0.5000 0.5000 0.5000

***

no.,M_tot (μB per formula unit)
1,0.0
2,0.0
3,0.0
4,1.7
5,0.0
6,0.0